DFT (SCAN) results for a PBEsol-optimized structure of Li2ZrHg.

Calculated values
V: 75 Å³ per cell
Final energy: -104.0 eV per cell
Formation enthalpy at 0 K: -9.40 kJ/mol of atoms
Space group: No. 99

Unit cell a=3.181 b=3.181 c=7.395 alpha=90.00 beta=90.00 gamma=90.00
Fractional coordinates of all 4 atoms:
1 Li 0.000 0.000 0.000
2 Li 0.500 0.500 0.223
3 Zr 0.000 0.000 0.519
4 Hg 0.500 0.500 0.788

=====

DFT (SCAN) results for a PBEsol-optimized structure of YPbBr.

Calculated values
V: 101 Å³ per cell
Final energy: -123.3 eV per cell
Space group: No. 216

Unit cell a=5.235 b=5.235 c=5.235 alpha=60.00 beta=60.00 gamma=60.00
Fractional coordinates of all 3 atoms:
1 Y 0.000 0.000 0.000
2 Pb 0.250 0.250 0.250
3 Br 0.500 0.500 0.500

=====

DFT (SCAN) results for a PBEsol-optimized structure of Ca2AlSi.

Calculated values
V: 95 Å³ per cell
Final energy: -38.2 eV per cell
Space group: No. 44

Unit cell a=5.900 b=5.900 c=5.900 alpha=141.57 beta=131.43 gamma=63.58
Fractional coordinates of all 4 atoms:
1 Ca 0.000 0.000 0.000
2 Ca 0.714 0.214 0.500
3 Al 0.289 0.789 0.500
4 Si 0.444 0.444 0.000

=====

DFT (SCAN) results for a PBEsol-optimized structure of BaLi2Ca.

Calculated values
V: 146 Å³ per cell
Final energy: -53.8 eV per cell
Formation enthalpy at 0 K: 4.87 kJ/mol of atoms
Energy above the most stable polymorph in this dataset: 27 meV per atom
Space group: No. 38

Unit cell a=5.129 b=6.858 c=6.858 alpha=37.28 beta=90.00 gamma=90.00
Fractional coordinates of all 4 atoms:
1 Ba 0.000 0.000 0.000
2 Li 0.000 0.274 0.274
3 Li 0.500 0.403 0.403
4 Ca 0.500 0.700 0.700

=====

DFT (SCAN) results for a PBEsol-optimized structure of Cs2Cd2Cl.

Calculated values
V: 183 Å³ per cell
Final energy: -148.7 eV per cell
Space group: No. 139

Unit cell a=10.977 b=10.977 c=10.977 alpha=158.17 beta=158.17 gamma=31.06
Fractional coordinates of all 5 atoms:
1 Cs 0.093 0.093 0.000
2 Cs 0.907 0.907 0.000
3 Cd 0.250 0.750 0.500
4 Cd 0.750 0.250 0.500
5 Cl 0.500 0.500 0.000

=====

DFT (SCAN) results for a PBEsol-optimized structure of CsNbSe2.

Calculated values
V: 94 Å³ per cell
Final energy: -111.6 eV per cell
Space group: No. 225

Unit cell a=5.104 b=5.104 c=5.104 alpha=60.00 beta=60.00 gamma=60.00
Fractional coordinates of all 4 atoms:
1 Cs 0.000 0.000 0.000
2 Nb 0.500 0.500 0.500
3 Se 0.250 0.250 0.250
4 Se 0.750 0.750 0.750

=====

DFT (SCAN) results for a PBEsol-optimized structure of Cr3GeSb.

Calculated values
V: 101 Å³ per cell
Final energy: -109.5 eV per cell
Space group: No. 221

Unit cell a=4.654 b=4.654 c=4.654 alpha=90.00 beta=90.00 gamma=90.00
Fractional coordinates of all 5 atoms:
1 Cr 0.000 0.000 0.500
2 Cr 0.000 0.500 0.000
3 Cr 0.500 0.000 0.000
4 Ge 0.000 0.000 0.000
5 Sb 0.500 0.500 0.500

=====

DFT (SCAN) results for a PBEsol-optimized structure of Ti2Be2Sb.

Calculated values
V: 97 Å³ per cell
Final energy: -72.2 eV per cell
Energy above the most stable polymorph in this dataset: 1444 meV per atom
Space group: No. 123

Unit cell a=4.400 b=4.400 c=4.999 alpha=90.00 beta=90.00 gamma=90.00
Fractional coordinates of all 5 atoms:
1 Ti 0.000 0.000 0.000
2 Ti 0.500 0.500 0.000
3 Be 0.000 0.500 0.500
4 Be 0.500 0.000 0.500
5 Sb 0.000 0.000 0.500